[1]
TcB4Au | PBE | optimized geometry

## Properties
The offset from the most stable computed form comes out at 0 meV per atom. The calculation puts the calculated density at 9.16 g cm⁻³.

Cell: 2.947 2.947 8.153 Å, 90.00 90.00 120.00°
Fractional coordinates of all 6 atoms:
1 Tc 0.000 0.000 0.000
2 B 0.333 0.667 0.207
3 B 0.333 0.667 0.793
4 B 0.667 0.333 0.207
5 B 0.667 0.333 0.793
6 Au 0.000 0.000 0.500


[2]
YGaGePt2 | PBE | optimized geometry

## Properties
The offset from the most stable computed form comes out at 0 meV per atom. The calculation puts the calculated density at 11.05 g cm⁻³.

Cell: 4.220 4.220 10.485 Å, 90.00 90.00 90.00°
Fractional coordinates of all 10 atoms:
1 Y 0.250 0.250 0.249
2 Y 0.750 0.750 0.751
3 Ga 0.250 0.750 0.000
4 Ga 0.750 0.250 0.000
5 Ge 0.250 0.250 0.634
6 Ge 0.750 0.750 0.366
7 Pt 0.250 0.250 0.864
8 Pt 0.250 0.750 0.500
9 Pt 0.750 0.250 0.500
10 Pt 0.750 0.750 0.136


[3]
PrGd2Zn3Ir2Pt | PBE | optimized geometry

## Properties
The value obtained for the calculated formation energy is -737 meV/atom. The calculation puts the calculated density at 11.30 g cm⁻³.

Cell: 3.962 7.270 7.270 Å, 120.26 90.00 90.00°
Fractional coordinates of all 9 atoms:
1 Pr 0.000 0.000 0.000
2 Gd 0.000 0.413 0.822
3 Gd 0.000 0.822 0.413
4 Zn 0.500 0.165 0.417
5 Zn 0.500 0.417 0.165
6 Zn 0.500 0.660 0.660
7 Ir 0.500 0.082 0.740
8 Ir 0.500 0.740 0.082
9 Pt 0.000 0.418 0.418


[4]
SrGdY | PBE | optimized geometry

## Properties
The calculation puts the calculated density at 4.08 g cm⁻³. For the total DFT energy (no corrections), the calculation gives -41.35 eV per cell.

Cell: 8.159 8.159 8.159 Å, 90.00 90.00 90.00°
Fractional coordinates of all 12 atoms:
1 Sr 0.000 0.000 0.000
2 Sr 0.000 0.500 0.500
3 Sr 0.500 0.000 0.500
4 Sr 0.500 0.500 0.000
5 Gd 0.000 0.000 0.500
6 Gd 0.000 0.500 0.000
7 Gd 0.500 0.000 0.000
8 Gd 0.500 0.500 0.500
9 Y 0.250 0.250 0.750
10 Y 0.250 0.750 0.250
11 Y 0.750 0.250 0.250
12 Y 0.750 0.750 0.750


[5]
LiAgPdS3 | PBE | optimized geometry

## Properties
The calculation puts the calculated density at 4.81 g cm⁻³. For the total DFT energy (no corrections), the calculation gives -47.86 eV per cell.

Cell: 6.378 6.378 9.830 Å, 90.00 90.00 146.74°
Fractional coordinates of all 12 atoms:
1 Li 0.178 0.822 0.750
2 Li 0.822 0.178 0.250
3 Ag 0.128 0.872 0.250
4 Ag 0.872 0.128 0.750
5 Pd 0.500 0.500 0.000
6 Pd 0.500 0.500 0.500
7 S 0.130 0.870 0.008
8 S 0.130 0.870 0.492
9 S 0.449 0.551 0.250
10 S 0.551 0.449 0.750
11 S 0.870 0.130 0.508
12 S 0.870 0.130 0.992


[6]
Rb2TcSe2S | PBE | optimized geometry

## Properties
The calculation puts the calculated density at 3.72 g cm⁻³. For the total DFT energy (no corrections), the calculation gives -56.02 eV per cell.

Cell: 7.902 7.902 10.133 Å, 121.65 121.65 53.16°
Fractional coordinates of all 12 atoms:
1 Rb 0.086 0.086 0.363
2 Rb 0.304 0.304 0.190
3 Rb 0.696 0.696 0.810
4 Rb 0.914 0.914 0.637
5 Tc 0.397 0.397 0.844
6 Tc 0.603 0.603 0.156
7 Se 0.205 0.205 0.778
8 Se 0.390 0.390 0.605
9 Se 0.610 0.610 0.395
10 Se 0.795 0.795 0.222
11 S 0.248 0.752 0.000
12 S 0.752 0.248 0.000


[7]
La3AuS6 | PBE | optimized geometry

## Properties
The calculation puts the calculated density at 5.19 g cm⁻³. For the total DFT energy (no corrections), the calculation gives -58.88 eV per cell.

Cell: 4.708 6.813 8.302 Å, 92.77 103.68 93.39°
Fractional coordinates of all 10 atoms:
1 La 0.000 0.000 0.000
2 La 0.362 0.468 0.721
3 La 0.638 0.532 0.279
4 Au 0.000 0.000 0.500
5 S 0.143 0.284 0.367
6 S 0.161 0.791 0.307
7 S 0.481 0.749 0.990
8 S 0.519 0.251 0.010
9 S 0.839 0.209 0.693
10 S 0.857 0.716 0.633


[8]
CdSbPdAu | PBE | optimized geometry

## Properties
The offset from the most stable computed form comes out at 0 meV per atom. The calculation puts the calculated density at 11.27 g cm⁻³.

Cell: 6.817 6.817 6.817 Å, 90.00 90.00 90.00°
Fractional coordinates of all 16 atoms:
1 Cd 0.000 0.000 0.000
2 Cd 0.000 0.500 0.500
3 Cd 0.500 0.000 0.500
4 Cd 0.500 0.500 0.000
5 Sb 0.000 0.000 0.500
6 Sb 0.000 0.500 0.000
7 Sb 0.500 0.000 0.000
8 Sb 0.500 0.500 0.500
9 Pd 0.250 0.250 0.250
10 Pd 0.250 0.750 0.750
11 Pd 0.750 0.250 0.750
12 Pd 0.750 0.750 0.250
13 Au 0.250 0.250 0.750
14 Au 0.250 0.750 0.250
15 Au 0.750 0.250 0.250
16 Au 0.750 0.750 0.750


[9]
Pr4HgOs | PBE | optimized geometry

## Properties
The value obtained for the calculated formation energy is -222 meV/atom. The calculation puts the calculated density at 8.73 g cm⁻³.

Cell: 8.005 8.005 6.410 Å, 99.05 99.05 112.71°
Fractional coordinates of all 12 atoms:
1 Pr 0.061 0.721 0.956
2 Pr 0.206 0.364 0.597
3 Pr 0.279 0.939 0.544
4 Pr 0.364 0.206 0.097
5 Pr 0.636 0.794 0.903
6 Pr 0.721 0.061 0.456
7 Pr 0.794 0.636 0.403
8 Pr 0.939 0.279 0.044
9 Hg 0.376 0.624 0.250
10 Hg 0.624 0.376 0.750
11 Os 0.000 0.000 0.250
12 Os 0.000 0.000 0.750


[10]
Te7IrBr7 | PBE | optimized geometry

## Properties
The calculation puts the calculated density at 5.52 g cm⁻³. For the total DFT energy (no corrections), the calculation gives -93.86 eV per cell.

Cell: 9.751 10.365 11.916 Å, 94.41 113.19 112.00°
Fractional coordinates of all 30 atoms:
1 Te 0.068 0.257 0.228
2 Te 0.068 0.845 0.524
3 Te 0.078 0.450 0.792
4 Te 0.212 0.548 0.531
5 Te 0.229 0.781 0.389
6 Te 0.245 0.340 0.689
7 Te 0.381 0.836 0.841
8 Te 0.619 0.164 0.159
9 Te 0.755 0.660 0.311
10 Te 0.771 0.219 0.611
11 Te 0.788 0.452 0.469
12 Te 0.922 0.550 0.208
13 Te 0.932 0.155 0.476
14 Te 0.932 0.743 0.772
15 Ir 0.083 0.651 0.660
16 Ir 0.917 0.349 0.340
17 Br 0.110 0.030 0.816
18 Br 0.141 0.768 0.008
19 Br 0.279 0.539 0.237
20 Br 0.299 0.237 0.463
21 Br 0.407 0.195 0.220
22 Br 0.421 0.049 0.709
23 Br 0.438 0.645 0.980
24 Br 0.562 0.355 0.020
25 Br 0.579 0.951 0.291
26 Br 0.593 0.805 0.780
27 Br 0.701 0.763 0.537
28 Br 0.721 0.461 0.763
29 Br 0.859 0.232 0.992
30 Br 0.890 0.970 0.184


[11]
BaHgTeO | PBE | optimized geometry

## Properties
The offset from the most stable computed form comes out at 359 meV per atom. The calculation puts the calculated density at 6.45 g cm⁻³.

Cell: 5.459 5.459 8.320 Å, 90.00 90.00 90.00°
Fractional coordinates of all 8 atoms:
1 Ba 0.250 0.250 0.181
2 Ba 0.750 0.750 0.819
3 Hg 0.250 0.250 0.646
4 Hg 0.750 0.750 0.354
5 Te 0.250 0.750 0.500
6 Te 0.750 0.250 0.500
7 O 0.250 0.250 0.904
8 O 0.750 0.750 0.096


[12]
Rb2Cd3Ag2 | PBE | optimized geometry

## Properties
The calculation puts the calculated density at 5.36 g cm⁻³. For the total DFT energy (no corrections), the calculation gives -21.64 eV per cell.

Cell: 13.063 4.853 8.483 Å, 90.00 123.45 90.00°
Fractional coordinates of all 14 atoms:
1 Rb 0.138 0.000 0.264
2 Rb 0.362 0.500 0.736
3 Rb 0.638 0.500 0.264
4 Rb 0.862 0.000 0.736
5 Cd 0.000 0.500 0.500
6 Cd 0.166 0.500 0.923
7 Cd 0.334 0.000 0.077
8 Cd 0.500 0.000 0.500
9 Cd 0.666 0.000 0.923
10 Cd 0.834 0.500 0.077
11 Ag 0.114 0.000 0.696
12 Ag 0.386 0.500 0.304
13 Ag 0.614 0.500 0.696
14 Ag 0.886 0.000 0.304